No. 1
Crystalline MgHPd5 at its relaxed geometry. Source: Alexandria via LeMat-Bulk, functional PBE.

Results
Total magnetic moment   0.0 Bohr magnetons per cell
Electronic total energy   -31.8 eV/cell
N(E_F)   0.83 states/eV per atom

a b c (Å): 3.8675 3.8675 6.6723
angles (deg): 90.00 90.00 90.00
Positions (direct):
Mg1 0.0000 0.0000 0.0000
H1 0.5000 0.5000 0.5000
Pd1 0.0000 0.5000 0.3021
Pd2 0.0000 0.5000 0.6979
Pd3 0.5000 0.0000 0.3021
Pd4 0.5000 0.0000 0.6979
Pd5 0.5000 0.5000 0.0000


No. 2
Crystalline MnCuCl6 at its relaxed geometry. Source: Alexandria via LeMat-Bulk, functional PBE.

Results
Energy above the most stable polymorph in this dataset   0.39 eV per formula unit
Total magnetic moment   4.0 Bohr magnetons per cell
Energy relative to the elements, uncorrected   -618 meV per atom
N(E_F)   0.10 states/eV per atom

a b c (Å): 5.5223 6.2322 7.0469
angles (deg): 111.72 109.51 95.20
Positions (direct):
Mn1 0.0000 0.0000 0.0000
Cu1 0.5000 0.5000 0.0000
Cl1 0.1393 0.6467 0.8756
Cl2 0.2074 0.1410 0.8130
Cl3 0.3483 0.1790 0.3181
Cl4 0.6517 0.8210 0.6819
Cl5 0.7926 0.8590 0.1870
Cl6 0.8607 0.3533 0.1244


No. 3
Crystalline Pm3B2Pd9Au at its relaxed geometry. Source: Alexandria via LeMat-Bulk, functional PBE.

Results
Total magnetic moment   0.0 Bohr magnetons per cell
Electronic total energy   -86.8 eV/cell
N(E_F)   0.31 states/eV per atom

a b c (Å): 5.7931 5.7931 9.4540
angles (deg): 90.00 90.00 120.00
Positions (direct):
Pm1 0.0000 0.0000 0.0000
Pm2 0.3333 0.6667 0.6177
Pm3 0.6667 0.3333 0.3823
B1 0.3333 0.6667 0.1435
B2 0.6667 0.3333 0.8565
Pd1 0.0000 0.5000 0.0000
Pd2 0.1667 0.3334 0.2728
Pd3 0.1667 0.8333 0.2728
Pd4 0.3334 0.1667 0.7272
Pd5 0.5000 0.0000 0.0000
Pd6 0.5000 0.5000 0.0000
Pd7 0.6666 0.8333 0.2728
Pd8 0.8333 0.1667 0.7272
Pd9 0.8333 0.6666 0.7272
Au1 0.0000 0.0000 0.5000